No. 1
Here is a crystal of Mn2V3SbP6O24 relaxed with PBEsol from the Alexandria database. Energies are from meta-GGA SCAN.

Symmetry: R3
DOS at the Fermi energy: 0.054 states/eV per atom

a b c (Å): 9.5619 9.5619 9.5619
angles (deg): 55.22 55.22 55.22
With the nearest neighbours (Å) after each atom.
Fractional positions:
Mn1 0.0000 0.0000 0.0000  6 O 1.94-1.95
Mn2 0.4303 0.4303 0.4303  3 O 1.74
V1 0.1191 0.1191 0.1191  3 O 1.73
V2 0.3486 0.3486 0.3486  3 O 1.80, 1 Mn 1.98
V3 0.8853 0.8853 0.8853  3 O 1.77
Sb1 0.2238 0.2238 0.2238  6 O 2.14-2.29
P1 0.0883 0.3630 0.7163  4 O 1.46-1.63
P2 0.2354 0.8263 0.6500  3 O 1.53-1.67
P3 0.3630 0.7163 0.0883  4 O 1.46-1.63
P4 0.6500 0.2354 0.8263  3 O 1.53-1.67
P5 0.7163 0.0883 0.3630  4 O 1.46-1.63
P6 0.8263 0.6500 0.2354  3 O 1.53-1.67
O1 0.0121 0.1291 0.3339  1 V 1.73
O2 0.0373 0.8436 0.6794  1 P 1.67, 1 V 1.77
O3 0.1291 0.3339 0.0121  1 V 1.73
O4 0.1326 0.1627 0.8664  1 P 1.59
O5 0.1357 0.8638 0.8414  1 P 1.66
O6 0.1455 0.3231 0.5461  1 P 1.60
O7 0.1627 0.8664 0.1326  1 P 1.59
O8 0.2573 0.4191 0.6438  1 P 1.63, 1 Mn 1.74
O9 0.2921 0.9779 0.4714  1 P 1.53
O10 0.3231 0.5461 0.1455  1 P 1.60
O11 0.3339 0.0121 0.1291  1 V 1.73
O12 0.4191 0.6438 0.2573  1 P 1.63, 1 Mn 1.74
O13 0.4714 0.2921 0.9779  1 P 1.53
O14 0.4957 0.7735 0.9058  1 P 1.46
O15 0.5461 0.1455 0.3231  1 P 1.60
O16 0.6438 0.2573 0.4191  1 P 1.63, 1 Mn 1.74
O17 0.6794 0.0373 0.8436  1 P 1.67, 1 V 1.77
O18 0.7735 0.9058 0.4957  1 P 1.46
O19 0.8414 0.1357 0.8638  1 P 1.66
O20 0.8436 0.6794 0.0373  1 P 1.67, 1 V 1.77
O21 0.8638 0.8414 0.1357  1 P 1.66
O22 0.8664 0.1326 0.1627  1 P 1.59
O23 0.9058 0.4957 0.7735  1 P 1.46
O24 0.9779 0.4714 0.2921  1 P 1.53

=====

No. 2
Here is a crystal of Mn7SnP12O48 relaxed with PBEsol from the Alexandria database. Energies are from meta-GGA SCAN.

Symmetry: P1
DOS at the Fermi energy: 0.623 states/eV per atom

a b c (Å): 8.1076 8.4056 11.4045
angles (deg): 90.27 90.83 90.03
With the nearest neighbours (Å) after each atom.
Fractional positions:
Mn1 0.0000 0.0000 0.0000  6 O 1.80-1.85
Mn2 0.0011 0.5021 0.2660  6 O 1.82-1.86
Mn3 0.0052 0.4393 0.7675  6 O 1.84-1.90
Mn4 0.4974 0.4394 0.5042  6 O 1.81-1.88
Mn5 0.5009 0.9394 0.7654  6 O 1.83-1.86
Mn6 0.5025 0.0019 0.2715  6 O 1.84-1.90
Mn7 0.9950 0.9406 0.4986  6 O 1.85-1.91
Sn1 0.4991 0.4984 0.0060  6 O 2.01-2.07
P1 0.1410 0.8537 0.2411  4 O 1.53-1.55
P2 0.1451 0.5914 0.5332  4 O 1.53-1.55
P3 0.2109 0.7239 0.8906  4 O 1.53-1.54
P4 0.2784 0.2144 0.8721  4 O 1.52-1.55
P5 0.3513 0.3460 0.2457  4 O 1.53-1.54
P6 0.3619 0.0883 0.5293  4 O 1.54-1.55
P7 0.6435 0.5884 0.7388  4 O 1.52-1.55
P8 0.6435 0.8621 0.0359  4 O 1.53-1.55
P9 0.7144 0.7192 0.3915  4 O 1.54-1.55
P10 0.7819 0.2210 0.3739  4 O 1.53-1.55
P11 0.8531 0.0921 0.7364  4 O 1.54-1.55
P12 0.8736 0.3504 0.0264  4 O 1.53-1.55
O1 0.0224 0.9060 0.3394  1 P 1.55
O2 0.0264 0.4929 0.6089  1 P 1.54
O3 0.0522 0.8062 0.9326  1 P 1.54
O4 0.0884 0.6855 0.2021  1 P 1.54
O5 0.1132 0.5495 0.4039  1 P 1.53
O6 0.1240 0.9619 0.1336  1 P 1.53
O7 0.1284 0.7734 0.5490  1 P 1.55
O8 0.1586 0.5950 0.8009  1 P 1.54
O9 0.1779 0.2873 0.7688  1 P 1.55
O10 0.1776 0.3951 0.2045  1 P 1.54
O11 0.1791 0.0828 0.4908  1 P 1.54
O12 0.1817 0.0832 0.9351  1 P 1.54
O13 0.3067 0.6597 0.9969  1 P 1.53
O14 0.3138 0.8420 0.8183  1 P 1.54
O15 0.3231 0.8580 0.2822  1 P 1.54
O16 0.3246 0.5505 0.5686  1 P 1.54
O17 0.3282 0.3325 0.9676  1 P 1.52
O18 0.3592 0.1635 0.2306  1 P 1.54
O19 0.3702 0.3842 0.3769  1 P 1.54
O20 0.3856 0.9662 0.6281  1 P 1.54
O21 0.4163 0.2540 0.5745  1 P 1.54
O22 0.4329 0.1357 0.8215  1 P 1.53
O23 0.4810 0.0424 0.4297  1 P 1.55
O24 0.4819 0.4366 0.1771  1 P 1.53
O25 0.5225 0.5340 0.8317  1 P 1.52
O26 0.5250 0.9624 0.1113  1 P 1.55
O27 0.5616 0.6338 0.4386  1 P 1.54
O28 0.5979 0.7587 0.7011  1 P 1.54
O29 0.6090 0.8947 0.9062  1 P 1.53
O30 0.6282 0.4783 0.6311  1 P 1.54
O31 0.6361 0.6843 0.0633  1 P 1.53
O32 0.6548 0.8446 0.3028  1 P 1.54
O33 0.6736 0.0510 0.7027  1 P 1.54
O34 0.6768 0.3411 0.4417  1 P 1.53
O35 0.6802 0.1471 0.2712  1 P 1.55
O36 0.6922 0.3428 0.9880  1 P 1.53
O37 0.8166 0.5992 0.3210  1 P 1.54
O38 0.8172 0.7927 0.4940  1 P 1.55
O39 0.8230 0.9094 0.0677  1 P 1.55
O40 0.8252 0.5806 0.7812  1 P 1.55
O41 0.8441 0.0991 0.4646  1 P 1.54
O42 0.8681 0.2740 0.7183  1 P 1.55
O43 0.8799 0.0566 0.8672  1 P 1.54
O44 0.8886 0.4721 0.1273  1 P 1.54
O45 0.9321 0.3062 0.3234  1 P 1.53
O46 0.9408 0.1904 0.0707  1 P 1.54
O47 0.9705 0.9930 0.6595  1 P 1.54
O48 0.9869 0.4022 0.9256  1 P 1.55

=====

No. 3
Here is a crystal of MnSnP2O8 relaxed with PBEsol from the Alexandria database. Energies are from meta-GGA SCAN.

Symmetry: P2_1/m

a b c (Å): 4.9637 5.9829 10.0434
angles (deg): 90.00 91.04 90.00
With the nearest neighbours (Å) after each atom.
Fractional positions:
Mn1 0.0667 0.2500 0.2232  4 O 2.01-2.15
Mn2 0.9333 0.7500 0.7768  4 O 2.01-2.15
Sn1 0.4416 0.2500 0.7196  6 O 2.01-2.15
Sn2 0.5584 0.7500 0.2804  6 O 2.01-2.15
P1 0.1202 0.7500 0.0960  4 O 1.50-1.59
P2 0.3964 0.7500 0.5899  4 O 1.50-1.58
P3 0.6036 0.2500 0.4101  4 O 1.50-1.58
P4 0.8798 0.2500 0.9040  4 O 1.50-1.59
O1 0.1520 0.7500 0.9476  1 P 1.50
O2 0.1817 0.2500 0.8709  1 P 1.54
O3 0.2535 0.5462 0.6596  1 P 1.58
O4 0.2535 0.9538 0.6596  1 P 1.58
O5 0.2739 0.5511 0.1691  1 P 1.59
O6 0.2739 0.9489 0.1691  1 P 1.59
O7 0.3023 0.2500 0.3904  1 P 1.50
O8 0.3150 0.7500 0.4403  1 P 1.55
O9 0.6850 0.2500 0.5597  1 P 1.55
O10 0.6977 0.7500 0.6096  1 P 1.50
O11 0.7261 0.0511 0.8309  1 P 1.59
O12 0.7261 0.4489 0.8309  1 P 1.59
O13 0.7465 0.0462 0.3404  1 P 1.58
O14 0.7465 0.4538 0.3404  1 P 1.58
O15 0.8183 0.7500 0.1291  1 P 1.54
O16 0.8480 0.2500 0.0524  1 P 1.50

=====

No. 4
Here is a crystal of SrMnZnP2O8 relaxed with PBEsol from the Alexandria database. Energies are from meta-GGA SCAN.

Symmetry: P-1
DOS at the Fermi energy: 0.000 states/eV per atom

a b c (Å): 5.4489 6.8690 9.3944
angles (deg): 110.45 102.00 97.83
With the nearest neighbours (Å) after each atom.
Fractional positions:
Sr1 0.2415 0.2986 0.0489  7 O 2.53-2.76
Sr2 0.7585 0.7014 0.9511  7 O 2.53-2.76
Mn1 0.3735 0.6655 0.4420  6 O 2.04-2.26
Mn2 0.6265 0.3345 0.5580  6 O 2.04-2.26
Zn1 0.0056 0.1188 0.3590  4 O 1.93-2.03
Zn2 0.9944 0.8812 0.6410  4 O 1.93-2.03
P1 0.1632 0.4815 0.7027  4 O 1.52-1.58
P2 0.3917 0.9170 0.2235  4 O 1.53-1.59
P3 0.6083 0.0830 0.7765  4 O 1.53-1.59
P4 0.8368 0.5185 0.2973  4 O 1.52-1.58
O1 0.0139 0.2477 0.5852  1 P 1.58
O2 0.0455 0.3825 0.3075  1 P 1.58
O3 0.2006 0.9468 0.0925  1 P 1.53
O4 0.2625 0.5031 0.8721  1 P 1.52
O5 0.3258 0.6914 0.2223  1 P 1.54
O6 0.3280 0.0319 0.7877  1 P 1.55
O7 0.3623 0.0763 0.3850  1 P 1.59
O8 0.3878 0.5551 0.6405  1 P 1.56
O9 0.6122 0.4449 0.3595  1 P 1.56
O10 0.6377 0.9237 0.6150  1 P 1.59
O11 0.6720 0.9681 0.2123  1 P 1.55
O12 0.6742 0.3086 0.7777  1 P 1.54
O13 0.7375 0.4969 0.1279  1 P 1.52
O14 0.7994 0.0532 0.9075  1 P 1.53
O15 0.9545 0.6175 0.6925  1 P 1.58
O16 0.9861 0.7523 0.4148  1 P 1.58

=====

No. 5
Here is a crystal of TaMnP2O relaxed with PBEsol from the Alexandria database. Energies are from meta-GGA SCAN.

Symmetry: P4/mmm
DOS at the Fermi energy: 0.607 states/eV per atom

a b c (Å): 4.5664 4.5664 3.3253
angles (deg): 90.00 90.00 90.00
With the nearest neighbours (Å) after each atom.
Fractional positions:
Ta1 0.0000 0.0000 0.0000  8 P 2.82
Mn1 0.5000 0.5000 0.5000  2 O 1.66
P1 0.0000 0.5000 0.5000  2 Mn 2.28
P2 0.5000 0.0000 0.5000  2 Mn 2.28
O1 0.5000 0.5000 0.0000  2 Mn 1.66

=====

No. 6
Here is a crystal of Ta2MnP6O21 relaxed with PBEsol from the Alexandria database. Energies are from meta-GGA SCAN.

Symmetry: P2_1/c

a b c (Å): 6.6220 8.0096 16.9091
angles (deg): 90.00 112.92 90.00
With the nearest neighbours (Å) after each atom.
Fractional positions:
Ta1 0.2019 0.0202 0.1665  6 O 1.95-1.97
Ta2 0.2019 0.4798 0.6665  6 O 1.95-1.97
Ta3 0.7981 0.5202 0.3335  6 O 1.95-1.97
Ta4 0.7981 0.9798 0.8335  6 O 1.95-1.97
Mn1 0.5000 0.0000 0.5000  6 O 2.09-2.15
Mn2 0.5000 0.5000 0.0000  6 O 2.09-2.15
P1 0.0466 0.6095 0.8310  4 O 1.48-1.60
P2 0.0466 0.8905 0.3310  4 O 1.48-1.60
P3 0.2940 0.1126 0.9846  4 O 1.48-1.57
P4 0.2940 0.3874 0.4846  4 O 1.48-1.57
P5 0.3183 0.6025 0.1614  4 O 1.48-1.60
P6 0.3183 0.8975 0.6614  4 O 1.48-1.60
P7 0.6817 0.1025 0.3386  4 O 1.48-1.60
P8 0.6817 0.3975 0.8386  4 O 1.48-1.60
P9 0.7060 0.6126 0.5154  4 O 1.48-1.57
P10 0.7060 0.8874 0.0154  4 O 1.48-1.57
P11 0.9534 0.1095 0.6690  4 O 1.48-1.60
P12 0.9534 0.3905 0.1690  4 O 1.48-1.60
O1 0.0973 0.5529 0.1729  2 P 1.60
O2 0.0973 0.9471 0.6729  2 P 1.60
O3 0.0978 0.0171 0.9188  1 P 1.54
O4 0.0978 0.4829 0.4188  1 P 1.54
O5 0.1148 0.2413 0.1931  1 P 1.55
O6 0.1148 0.2587 0.6931  1 P 1.55
O7 0.1186 0.5778 0.7557  1 P 1.54
O8 0.1186 0.9222 0.2557  1 P 1.54
O9 0.2306 0.6322 0.9152  1 P 1.48
O10 0.2306 0.8678 0.4152  1 P 1.48
O11 0.2726 0.1078 0.0725  1 P 1.55
O12 0.2726 0.3922 0.5725  1 P 1.55
O13 0.2931 0.7063 0.6483  1 P 1.55
O14 0.2931 0.7937 0.1483  1 P 1.55
O15 0.3227 0.2193 0.4540  1 P 1.48
O16 0.3227 0.2807 0.9540  1 P 1.48
O17 0.3490 0.5089 0.0916  1 P 1.48
O18 0.3490 0.9911 0.5916  1 P 1.48
O19 0.4991 0.0702 0.2485  1 P 1.55
O20 0.4991 0.4298 0.7485  1 P 1.55
O21 0.5000 0.0000 0.0000  2 P 1.57
O22 0.5000 0.5000 0.5000  2 P 1.57
O23 0.5009 0.5702 0.2515  1 P 1.55
O24 0.5009 0.9298 0.7515  1 P 1.55
O25 0.6510 0.0089 0.4084  1 P 1.48
O26 0.6510 0.4911 0.9084  1 P 1.48
O27 0.6773 0.7193 0.0460  1 P 1.48
O28 0.6773 0.7807 0.5460  1 P 1.48
O29 0.7069 0.2063 0.8517  1 P 1.55
O30 0.7069 0.2937 0.3517  1 P 1.55
O31 0.7274 0.6078 0.4275  1 P 1.55
O32 0.7274 0.8922 0.9275  1 P 1.55
O33 0.7694 0.1322 0.5848  1 P 1.48
O34 0.7694 0.3678 0.0848  1 P 1.48
O35 0.8814 0.0778 0.7443  1 P 1.54
O36 0.8814 0.4222 0.2443  1 P 1.54
O37 0.8852 0.7413 0.3069  1 P 1.55
O38 0.8852 0.7587 0.8069  1 P 1.55
O39 0.9022 0.5171 0.5812  1 P 1.54
O40 0.9022 0.9829 0.0812  1 P 1.54
O41 0.9027 0.0529 0.3271  2 P 1.60
O42 0.9027 0.4471 0.8271  2 P 1.60

=====

no.,total moment (μB/f.u.),ΔE_f (raw) (eV per formula unit)
1,3.991,-67.6
2,16.666,-145.6
3,5.000,-27.0
4,5.000,-33.7
5,2.630,-0.4
6,5.000,-77.3